Material: Pa4Mn7Si6
Method: DFT, PBE
State: relaxed

Geometry as extended XYZ:
```
17
Lattice="-4.034 4.034 4.034 4.034 -4.034 4.034 4.034 4.034 -4.034" Properties=species:S:1:pos:R:3 pbc="T T T"
Pa 2.017 2.017 -2.017
Pa 2.017 -2.017 2.017
Pa -2.017 2.017 2.017
Pa 2.017 2.017 2.017
Mn 0.000 0.000 0.000
Mn 4.034 2.017 0.000
Mn 4.034 0.000 2.017
Mn 2.017 4.034 0.000
Mn 2.017 0.000 4.034
Mn 0.000 4.034 2.017
Mn 0.000 2.017 4.034
Si 2.658 0.000 0.000
Si 5.409 0.000 0.000
Si 0.000 2.658 0.000
Si 0.000 0.000 2.658
Si 0.000 5.409 0.000
Si 0.000 0.000 5.409
```

Crystal system   cubic
Energy relative to the elements, uncorrected   -8.79 eV per formula unit
Density of states at the Fermi level   15.87 states/eV/f.u.